# MnRuO2

An optimized crystal structure of MnRuO2 (PBE with a Hubbard U, Alexandria).

Output
* V: 139 Å³/cell
* symmetry: R-3m, No. 166
* crystal system: trigonal
* energy relative to the lowest polymorph listed for this composition: 0.00 eV/f.u.

a b c (Å): 2.9456 2.9456 18.4648
angles (deg): 90.00 90.00 120.00
Last column: nearest neighbours and their distance in Å.
Atoms (fractional coordinates):
1 Mn 0.0000 0.0000 0.0000  6 O 2.05
2 Mn 0.3333 0.6667 0.6667  6 O 2.05
3 Mn 0.6667 0.3333 0.3333  6 O 2.05
4 Ru 0.0000 0.0000 0.5000  2 O 1.94
5 Ru 0.3333 0.6667 0.1667  2 O 1.94
6 Ru 0.6667 0.3333 0.8333  2 O 1.94
7 O 0.0000 0.0000 0.3949  1 Ru 1.94, 3 Mn 2.05
8 O 0.0000 0.0000 0.6051  1 Ru 1.94, 3 Mn 2.05
9 O 0.3333 0.6667 0.0616  1 Ru 1.94, 3 Mn 2.05
10 O 0.3333 0.6667 0.2718  1 Ru 1.94, 3 Mn 2.05
11 O 0.6667 0.3333 0.7282  1 Ru 1.94, 3 Mn 2.05
12 O 0.6667 0.3333 0.9384  1 Ru 1.94, 3 Mn 2.05